## Ac3TlH (PBE-GGA)

Data for a relaxed Ac3TlH crystal.

Lattice parameters (Å, degrees): 5.375 5.375 5.375 90.00 90.00 90.00
Sites, in units of the cell vectors:
Ac1 0.000 0.000 0.500
Ac2 0.000 0.500 0.000
Ac3 0.500 0.000 0.000
Tl1 0.500 0.500 0.500
H1 0.000 0.000 0.000

Properties
Raw total energy = -19.025 eV for the cell shown
Space group = Pm-3m, No. 221
Energy above the lowest structure with this stoichiometry = 5.99 kJ/mol of atoms